The following is a GGA-PBE calculation of crystalline HfSnPb at its relaxed geometry, from Alexandria.

Fermi-level density of states	4.89	states/eV per cell
theoretical density	10685	kg/m³
space group	C2/m
formation enthalpy at 0 K	0.01	eV/atom

Cell and atoms, written as POSCAR:
```
HfSnPb
1.0
3.296 0.000 0.000
1.648 10.037 -0.347
1.648 3.265 4.627
Sn Pb Hf
2 2 2
Cartesian
3.296 9.318 0.968
3.296 3.984 3.312
4.944 7.141 3.612
1.648 6.161 0.668
1.648 2.387 1.270
4.944 10.915 3.010
```